BaAcScS4 PBE relaxed; theoretical density = 4.80 g/cm³; V = 26.6 Å³/atom; ΔE_f (raw) = -2.033 eV/atom; magnetic moment = 0.00 μB/cell
1.0
6.896 0.000 0.000
0.000 6.943 0.000
-3.448 0.000 7.773
Ba Ac Sc S
2 2 2 8
Cartesian
3.448 5.207 1.668
0.000 1.736 6.105
0.000 1.736 1.803
3.448 5.207 5.970
0.000 5.207 3.898
3.448 1.736 3.875
3.448 1.736 6.639
0.000 5.207 6.441
0.000 5.207 1.134
3.448 1.736 1.332
1.724 3.472 3.887
-1.724 0.000 3.887
1.724 0.000 3.887
-1.724 3.472 3.887

---

PdPtPb2 PBE relaxed; energy of formation = -8 kJ per mole of atoms; theoretical density = 14.00 g/cm³; V = 21.2 Å³/atom; magnetic moment = 0.00 μB/cell
1.0
-0.818 -3.358 -0.482
1.501 -0.803 3.046
-6.077 1.012 3.262
Pb Pd Pt
2 1 1
Cartesian
-4.577 0.762 2.457
-1.500 0.250 0.805
-2.697 -1.575 2.913
0.342 -2.080 1.282

---

ReHAu3 PBE relaxed; theoretical density = 17.89 g/cm³; V = 14.4 Å³/atom; magnetic moment = 0.00 μB/cell
1.0
-1.108 2.548 3.102
-3.600 0.794 -1.937
-1.777 -3.197 1.991
Re Au H
1 3 1
Cartesian
-3.242 0.072 1.578
-1.800 0.397 -0.969
-0.888 -1.598 0.996
-0.554 1.274 1.551
0.000 0.000 0.000

---

LiIrRhO4 PBE relaxed; theoretical density = 7.60 g/cm³; V = 11.4 Å³/atom; ΔE_f (raw) = -0.978 eV/atom; magnetic moment = 0.00 μB/cell
1.0
-2.708 -4.623 1.746
3.657 -0.586 -4.971
2.503 0.672 5.662
Li Ir Rh O
2 2 2 8
Cartesian
0.692 -4.404 -1.495
2.760 -0.133 3.932
1.726 -2.268 1.218
3.080 0.043 0.345
-0.103 -1.975 3.704
-1.354 -2.311 0.873
1.479 -3.140 3.072
0.083 -1.175 1.815
-1.197 -3.359 2.640
0.279 -3.462 0.359
3.173 -1.074 2.078
3.369 -3.362 0.621
4.649 -1.178 -0.203
1.973 -1.396 -0.636

---

Tb8Tl4CSe3 PBE relaxed; theoretical density = 9.17 g/cm³; V = 26.5 Å³/atom; ΔE_f (raw) = -0.896 eV/atom; magnetic moment = 0.00 μB/cell
1.0
7.876 0.000 0.000
0.000 9.062 0.838
-3.938 -3.939 5.569
Tb Tl C Se
8 4 1 3
Cartesian
-2.183 2.432 6.047
0.000 4.615 2.962
0.000 0.494 3.133
2.183 2.432 6.047
1.755 2.692 0.360
3.938 4.629 3.273
3.938 0.509 3.444
6.121 2.692 0.360
3.938 0.000 0.000
1.969 -1.969 2.784
0.000 0.000 0.000
-1.969 -1.969 2.784
0.000 4.531 0.419
3.938 4.531 0.419
1.969 2.562 3.203
-1.969 2.562 3.203

---

ErZrAgIr PBE relaxed; energy of formation = -48 kJ per mole of atoms; theoretical density = 11.54 g/cm³; V = 20.1 Å³/atom; magnetic moment = 0.00 μB/cell
1.0
-2.090 4.114 -1.473
-4.774 0.137 -0.808
-2.896 2.457 3.007
Ir Zr Ag Er
1 1 1 1
Cartesian
-7.320 5.031 0.545
-4.880 3.354 0.363
-2.440 1.677 0.182
0.000 0.000 0.000

---

SrFeOs PBE relaxed; energy of formation = 27 kJ per mole of atoms; theoretical density = 7.50 g/cm³; V = 24.6 Å³/atom; magnetic moment = 0.00 μB/cell
1.0
10.341 0.069 0.200
-1.736 3.833 0.000
-1.878 -0.849 3.673
Sr Os Fe
2 2 2
Cartesian
3.183 1.070 3.406
7.523 0.731 3.081
1.953 0.511 0.528
0.290 2.069 2.086
0.075 -0.338 1.877
2.168 2.918 0.737

---

Ba2SrBBr PBE relaxed; theoretical density = 3.40 g/cm³; V = 44.2 Å³/atom; ΔE_f (raw) = 0.422 eV/atom; magnetic moment = 0.50 μB/cell
1.0
-4.142 -4.037 2.182
4.103 -2.447 3.262
-1.353 3.884 4.616
Sr B Ba Br
1 1 2 1
Cartesian
2.052 -1.223 1.631
-0.696 -1.300 5.030
-0.677 1.942 2.308
-2.071 -2.019 1.091
0.000 0.000 0.000

---

Let's list DFT total energy in order: -6.16; -4.75; -4.26; -6.40; -5.03; -6.70; -6.84; -2.35 eV/atom.